Record 1
VASP calculation (PBE-GGA) on ZrOsPb after structural relaxation.

* SG: P3m1, No. 156
* density: 13.472 g/cm³
* ΔE_f: 193 meV/atom
* magnetization: 0.00 Bohr magnetons per cell

Geometry as POSCAR:
```
ZrOsPb
1.0
4.699 0.000 0.000
-2.350 4.069 0.000
0.000 0.000 3.150
Zr Os Pb
1 1 1
Direct
0.000 0.000 0.000
0.667 0.333 0.427
0.333 0.667 0.477
```

---

Record 2
VASP calculation (PBE-GGA) on CaTiRu2 after structural relaxation.

* SG: Fm-3m, No. 225
* density: 7.277 g/cm³
* ΔE_f: 0 meV/atom
* magnetization: 0.00 Bohr magnetons per cell

Geometry as POSCAR:
```
CaTiRu2
1.0
0.000 3.211 3.211
3.211 0.000 3.211
3.211 3.211 0.000
Ca Ti Ru
1 1 2
Direct
0.000 0.000 0.000
0.500 0.500 0.500
0.250 0.250 0.250
0.750 0.750 0.750
```

---

Record 3
VASP calculation (PBE-GGA) on Li2PmPr2Sb2 after structural relaxation.

* SG: R-3m, No. 166
* density: 6.115 g/cm³
* raw formation energy: -59.4 kJ/mol of atoms
* magnetization: 0.00 Bohr magnetons per cell

Geometry as POSCAR:
```
Li2PmPr2Sb2
1.0
2.393 1.382 9.366
-2.393 1.382 9.366
0.000 -2.763 9.366
Li Pm Pr Sb
2 1 2 2
Direct
0.097 0.097 0.097
0.903 0.903 0.903
0.500 0.500 0.500
0.371 0.371 0.371
0.629 0.629 0.629
0.233 0.233 0.233
0.767 0.767 0.767
```

---

Record 4
VASP calculation (PBE-GGA) on Zr2Sc after structural relaxation.

* SG: I4_1/amd, No. 141
* density: 5.157 g/cm³
* ΔE_f: 408 meV/atom
* magnetization: 0.00 Bohr magnetons per cell

Geometry as POSCAR:
```
Zr2Sc
1.0
-1.879 1.879 10.365
1.879 -1.879 10.365
1.879 1.879 -10.365
Zr Sc
4 2
Direct
0.303 0.553 0.750
0.447 0.697 0.750
0.553 0.303 0.250
0.697 0.447 0.250
0.125 0.875 0.250
0.875 0.125 0.750
```